This record from Alexandria via LeMat-Bulk describes an optimized crystal structure of NiAsOs2. The functional is PBE.

Properties
Its crystal system is trigonal. The formation energy from the elements is 458 meV/atom. Its symmetry is No. 166. Its volume is 14.012 Å³ per atom.

The structure in extended XYZ format:
```
4
Lattice="-6.754 4.533 -0.903 -7.184 3.522 1.717 -5.580 5.836 1.332" Properties=species:S:1:pos:R:3 pbc="T T T"
Ni -14.639 10.418 1.610
As -4.880 3.473 0.537
Os -9.789 6.967 1.077
Os -19.488 13.869 2.143
```